[1]
Below is a relaxed structure of EuTlIn, with properties calculated at the PBE level.

```
12
Lattice="7.286 0.000 0.000 0.000 7.286 0.000 0.000 0.000 7.286" Properties=species:S:1:pos:R:3 pbc="T T T"
Eu 0.000 0.000 0.000
Eu 0.000 3.643 3.643
Eu 3.643 0.000 3.643
Eu 3.643 3.643 0.000
Tl 1.822 1.822 5.465
Tl 1.822 5.465 1.822
Tl 5.465 1.822 1.822
Tl 5.465 5.465 5.465
In 0.000 0.000 3.643
In 0.000 3.643 0.000
In 3.643 0.000 0.000
In 3.643 3.643 3.643
```

Computed properties:
Total energy, eV for the cell shown: -65.02
Relative energy among the computed polymorphs, kJ/mol of formula units: 19
Density, Mg/m³: 8.1

=====

[2]
Below is a relaxed structure of EuTlIn2, with properties calculated at the PBE level.

```
4
Lattice="3.935 0.000 0.000 0.000 3.935 0.000 0.000 0.000 7.553" Properties=species:S:1:pos:R:3 pbc="T T T"
Eu 0.000 0.000 0.000
Tl 0.000 0.000 3.777
In 1.968 1.968 2.064
In 1.968 1.968 5.489
```

Computed properties:
Total energy, eV for the cell shown: -19.03
Relative energy among the computed polymorphs, kJ/mol of formula units: 40
Density, Mg/m³: 8.3

=====

[3]
Below is a relaxed structure of EuTlIn2, with properties calculated at the PBE level.

```
16
Lattice="7.759 0.000 0.000 0.000 7.759 0.000 0.000 0.000 7.759" Properties=species:S:1:pos:R:3 pbc="T T T"
Eu 0.000 0.000 0.000
Eu 0.000 3.880 3.880
Eu 3.880 0.000 3.880
Eu 3.880 3.880 0.000
Tl 0.000 0.000 3.880
Tl 0.000 3.880 0.000
Tl 3.880 0.000 0.000
Tl 3.880 3.880 3.880
In 1.940 1.940 1.940
In 1.940 1.940 5.820
In 1.940 5.820 1.940
In 1.940 5.820 5.820
In 5.820 1.940 1.940
In 5.820 1.940 5.820
In 5.820 5.820 1.940
In 5.820 5.820 5.820
```

Computed properties:
Total energy, eV for the cell shown: -75.78
Relative energy among the computed polymorphs, kJ/mol of formula units: 48
Density, Mg/m³: 8.3

=====

[4]
Below is a relaxed structure of EuTlIn, with properties calculated at the PBE level.

```
6
Lattice="3.754 0.000 0.000 0.000 3.754 0.000 0.000 0.000 12.575" Properties=species:S:1:pos:R:3 pbc="T T T"
Eu 0.000 0.000 0.000
Eu 1.877 1.877 6.287
Tl 0.000 0.000 4.062
Tl 1.877 1.877 10.350
In 0.000 0.000 8.488
In 1.877 1.877 2.201
```

Computed properties:
Total energy, eV for the cell shown: -32.54
Relative energy among the computed polymorphs, kJ/mol of formula units: 17
Density, Mg/m³: 8.8

=====

[5]
Below is a relaxed structure of EuTmTlIn, with properties calculated at the PBE level.

```
16
Lattice="7.692 0.000 0.000 0.000 7.692 0.000 0.000 0.000 7.692" Properties=species:S:1:pos:R:3 pbc="T T T"
Eu 0.000 0.000 0.000
Eu 0.000 3.846 3.846
Eu 3.846 0.000 3.846
Eu 3.846 3.846 0.000
Tm 0.000 0.000 3.846
Tm 0.000 3.846 0.000
Tm 3.846 0.000 0.000
Tm 3.846 3.846 3.846
Tl 1.923 1.923 5.769
Tl 1.923 5.769 1.923
Tl 5.769 1.923 1.923
Tl 5.769 5.769 5.769
In 1.923 1.923 1.923
In 1.923 5.769 5.769
In 5.769 1.923 5.769
In 5.769 5.769 1.923
```

Computed properties:
Total energy, eV for the cell shown: -85.51
Density, Mg/m³: 9.3

=====

[6]
Below is a relaxed structure of EuYTlIn, with properties calculated at the PBE level.

```
16
Lattice="7.738 0.000 0.000 0.000 7.738 0.000 0.000 0.000 7.738" Properties=species:S:1:pos:R:3 pbc="T T T"
Eu 0.000 0.000 0.000
Eu 0.000 3.869 3.869
Eu 3.869 0.000 3.869
Eu 3.869 3.869 0.000
Y 0.000 0.000 3.869
Y 0.000 3.869 0.000
Y 3.869 0.000 0.000
Y 3.869 3.869 3.869
Tl 1.935 1.935 5.804
Tl 1.935 5.804 1.935
Tl 5.804 1.935 1.935
Tl 5.804 5.804 5.804
In 1.935 1.935 1.935
In 1.935 5.804 5.804
In 5.804 1.935 5.804
In 5.804 5.804 1.935
```

Computed properties:
Total energy, eV for the cell shown: -94.04
Density, Mg/m³: 8.0

=====

[7]
Below is a relaxed structure of EuTmIn, with properties calculated at the PBE level.

```
3
Lattice="5.370 0.000 0.000 -2.685 4.650 0.000 0.000 0.000 3.614" Properties=species:S:1:pos:R:3 pbc="T T T"
Eu 0.000 0.000 0.000
Tm 2.685 1.550 2.041
In 0.000 3.100 1.379
```

Computed properties:
Total energy, eV for the cell shown: -18.09
Relative energy among the computed polymorphs, kJ/mol of formula units: 12
Density, Mg/m³: 8.0

=====

[8]
Below is a relaxed structure of EuTm2In, with properties calculated at the PBE level.

```
12
Lattice="3.529 0.000 0.000 -1.765 3.056 0.000 0.000 0.000 35.386" Properties=species:S:1:pos:R:3 pbc="T T T"
Eu 0.000 0.000 0.000
Eu 0.000 2.037 23.590
Eu 1.765 1.019 11.795
Tm 0.000 0.000 3.438
Tm 0.000 0.000 31.947
Tm 0.000 2.037 20.152
Tm 0.000 2.037 27.029
Tm 1.765 1.019 8.357
Tm 1.765 1.019 15.234
In 0.000 0.000 17.693
In 0.000 2.037 5.898
In 1.765 1.019 29.488
```

Computed properties:
Total energy, eV for the cell shown: -65.25
Relative energy among the computed polymorphs, kJ/mol of formula units: 96
Density, Mg/m³: 7.9